Model w:
First-principles (PBE+U) data for an optimized crystal structure of LaCoIO2, as listed in the Alexandria database.

```
LaCoIO2
1.0
4.358 0.000 0.000
0.000 4.358 0.000
0.000 0.000 7.043
La Co I O
1 1 1 2
direct
0.000 0.000 0.000 La
0.500 0.500 0.500 Co
0.000 0.000 0.500 I
0.000 0.500 0.000 O
0.500 0.000 0.000 O
```

DOS(E_F), states/eV per cell: 9.82
Crystal system: tetragonal
Total magnetization, μB/f.u.: 2.66
SG: P4/mmm, No. 123

***

Model x:
First-principles (PBE+U) data for an optimized crystal structure of LaCoIO2, as listed in the Alexandria database.

```
LaCoIO2
1.0
4.340 0.000 0.000
0.000 4.340 0.000
0.000 0.000 4.837
La Co I O
1 1 1 2
direct
0.000 0.000 0.000 La
0.500 0.500 0.500 Co
0.500 0.500 0.000 I
0.000 0.500 0.500 O
0.500 0.000 0.500 O
```

DOS(E_F), states/eV per cell: 0.78
Crystal system: tetragonal
Total magnetization, μB/f.u.: 2.90
SG: P4/mmm, No. 123

***

Stability order, top to bottom: model x, model w